## Tb6PmEr3Tm2 (PBE)

Data for a relaxed structure of Tb6PmEr3Tm2.

Computed properties:
**Space group**: No. 12
**Formation energy**: 0.018 eV per atom
**Calculated volume**: 31.35 Å³ per atom
**DOS at the Fermi energy**: 1.2832 states/eV/atom

Lattice parameters (Å, degrees): 6.1302 6.1302 11.7309 94.97 94.97 119.96
With the nearest neighbours (Å) after each atom.
Positions (direct):
Tb1 0.0817 0.4157 0.2488  3 Er 3.52-3.53, 6 Tb 3.53-3.55, 2 Tm 3.55, 1 Pm 3.55
Tb2 0.2501 0.2501 0.7511  3 Er 3.53, 6 Tb 3.53-3.55, 1 Pm 3.55, 2 Tm 3.55
Tb3 0.4157 0.0817 0.2488  3 Er 3.52-3.53, 6 Tb 3.53-3.55, 2 Tm 3.55, 1 Pm 3.55
Tb4 0.5843 0.9183 0.7512  3 Er 3.52-3.53, 6 Tb 3.53-3.55, 2 Tm 3.55, 1 Pm 3.55
Tb5 0.7499 0.7499 0.2489  3 Er 3.53, 6 Tb 3.53-3.55, 1 Pm 3.55, 2 Tm 3.55
Tb6 0.9183 0.5843 0.7512  3 Er 3.52-3.53, 6 Tb 3.53-3.55, 2 Tm 3.55, 1 Pm 3.55
Pm1 0.5000 0.5000 0.5000  6 Tm 3.54, 6 Tb 3.55
Er1 0.0000 0.0000 0.0000  6 Tb 3.53, 6 Er 3.54
Er2 0.3330 0.6670 0.0000  6 Tb 3.52-3.53, 6 Er 3.54
Er3 0.6670 0.3330 0.0000  6 Tb 3.52-3.53, 6 Er 3.54
Tm1 0.1667 0.8333 0.5000  3 Pm 3.54, 3 Tm 3.54, 6 Tb 3.55
Tm2 0.8333 0.1667 0.5000  3 Pm 3.54, 3 Tm 3.54, 6 Tb 3.55